! La2Pm2Tm (PBE, optimized geometry); values from VASP
! - DOS(E_F) (states/eV per cell) = 16.89
! - energy above the most stable polymorph in this dataset (eV/f.u.) = 0.973
! - VASP energy (eV per atom) = -4.541
&SYSTEM
  ibrav = 0, nat = 10, ntyp = 3
/
ATOMIC_SPECIES
Pm 145.00 Pm.upf
La 138.91 La.upf
Tm 168.93 Tm.upf
ATOMIC_POSITIONS crystal
Pm 0.500 0.500 0.000
Pm 0.000 0.500 0.500
Pm 0.500 0.500 0.500
Pm 0.000 0.000 0.500
La 0.137 0.244 0.075
La 0.637 0.075 0.244
La 0.863 0.756 0.925
La 0.363 0.925 0.756
Tm 0.750 0.207 0.793
Tm 0.250 0.793 0.207
CELL_PARAMETERS angstrom
8.709 1.112 1.605
-2.485 6.133 0.153
-2.485 -2.009 5.796